[1]
Computed, not measured: a relaxed structure of KMgInS2 at the GGA-PBEsol level of DFT.

## Properties
Its raw total energy is -3.07 eV/atom. The calculation puts the density of states at the Fermi level at 2.0 states/eV per cell. As for the uncorrected formation energy: -0.15 eV/atom.

Lattice parameters (Å, degrees): 5.2396 5.2320 5.2320 90.00 90.00 90.00
Fractional positions:
Mg1 0.5000 0.0000 0.0000
K1 0.5000 0.5000 0.5000
S1 0.0000 0.0000 0.5000
S2 0.0000 0.5000 0.0000
In1 0.0000 0.0000 0.0000


[2]
Computed, not measured: a relaxed structure of KMnIn2 at the GGA-PBEsol level of DFT.

## Properties
The formation energy is 0.56 eV per atom. Its raw total energy is -3.66 eV/atom. The calculation puts the density of states at the Fermi level at 2.9 states/eV per cell. Its excess energy over the best structure of this formula in the dataset is 252.9 meV/atom.

Lattice parameters (Å, degrees): 3.0096 5.9149 6.3625 116.93 90.00 90.00
Each line ends with the local moment (μB).
Fractional positions:
In1 0.0000 0.0000 0.0000  -0.04
In2 0.5000 0.0000 0.5000  -0.04
K1 0.5000 0.5000 0.0000  -0.01
Mn1 0.0000 0.5000 0.5000  3.98


[3]
Computed, not measured: a relaxed structure of KMnIn2 at the GGA-PBEsol level of DFT.

## Properties
The formation energy is 0.51 eV per atom. Its raw total energy is -3.70 eV/atom. The calculation puts the density of states at the Fermi level at 2.6 states/eV per cell. Its excess energy over the best structure of this formula in the dataset is 209.6 meV/atom.

Lattice parameters (Å, degrees): 4.5651 4.6531 4.6531 90.00 90.00 90.00
Each line ends with the local moment (μB).
Fractional positions:
In1 0.0000 0.0000 0.5000  -0.08
In2 0.0000 0.5000 0.0000  -0.08
K1 0.5000 0.5000 0.5000  -0.02
Mn1 0.5000 0.0000 0.0000  3.98


[4]
Computed, not measured: a relaxed structure of KMnIn2 at the GGA-PBEsol level of DFT.

## Properties
The formation energy is 0.30 eV per atom. Its raw total energy is -3.91 eV/atom. The calculation puts the density of states at the Fermi level at 2.4 states/eV per cell. Its excess energy over the best structure of this formula in the dataset is 0.0 meV/atom.

Lattice parameters (Å, degrees): 3.0934 4.7472 7.6993 95.54 90.00 109.01
Each line ends with the local moment (μB).
Fractional positions:
In1 0.7614 0.5227 0.8250  -0.05
In2 0.2386 0.4773 0.1750  -0.05
K1 0.0000 0.0000 0.5000  -0.01
Mn1 0.5000 0.0000 0.0000  3.67